No. 1
Computed, not measured: PrI2 at its PBEsol-relaxed geometry at the meta-GGA SCAN level of DFT.

POSCAR file:
```
PrI2
1.0
0.000 6.117 6.117
6.117 0.000 6.117
6.117 6.117 0.000
Pr I
4 8
Direct
0.114 0.114 0.114
0.114 0.114 0.658
0.114 0.658 0.114
0.658 0.114 0.114
0.378 0.378 0.378
0.378 0.378 0.867
0.378 0.867 0.378
0.418 0.861 0.861
0.861 0.418 0.861
0.861 0.861 0.418
0.861 0.861 0.861
0.867 0.378 0.378
```

E_form (uncorrected) in meV per atom: -1443
Space-group type: F-43m, No. 216
Electronic total energy in eV per atom: -40.380
Volume in A^3/atom: 38.15
ρ in g cm⁻³: 5.7

---

No. 2
Computed, not measured: BaBePb4 at its PBEsol-relaxed geometry at the meta-GGA SCAN level of DFT.

POSCAR file:
```
BaBePb4
1.0
0.000 4.551 4.551
4.551 0.000 4.551
4.551 4.551 0.000
Ba Be Pb
1 1 4
Direct
0.000 0.000 0.000
0.250 0.250 0.250
0.125 0.625 0.625
0.625 0.125 0.625
0.625 0.625 0.125
0.625 0.625 0.625
```

Space-group type: F-43m, No. 216
Electronic total energy in eV per atom: -57.682
Volume in A^3/atom: 31.42
ρ in g cm⁻³: 8.6
E_form in eV per atom: 0.16

---

No. 3
Computed, not measured: Be2MoSe at its PBEsol-relaxed geometry at the meta-GGA SCAN level of DFT.

POSCAR file:
```
Be2MoSe
1.0
1.636 -2.113 0.000
1.636 2.113 0.000
0.000 0.000 7.914
Be Mo Se
2 1 1
Direct
0.000 0.000 0.222
0.000 0.000 0.778
0.500 0.500 0.000
0.500 0.500 0.500
```

E_form (uncorrected) in meV per atom: 410
Space-group type: Cmmm, No. 65
Electronic total energy in eV per atom: -15.507
Volume in A^3/atom: 13.68
ρ in g cm⁻³: 5.9

---

No. 4
Computed, not measured: ZrScCr2 at its PBEsol-relaxed geometry at the meta-GGA SCAN level of DFT.

POSCAR file:
```
ZrScCr2
1.0
2.847 -4.220 0.000
2.847 4.220 0.000
-0.941 0.000 2.631
Zr Sc Cr
1 1 2
Direct
0.000 0.000 0.000
0.500 0.500 0.000
0.000 0.500 0.500
0.500 0.000 0.500
```

Space-group type: C2/m, No. 12
Electronic total energy in eV per atom: -19.915
Volume in A^3/atom: 15.80
ρ in g cm⁻³: 6.3
E_form in eV per atom: 0.51

---

No. 5
Computed, not measured: Si5W at its PBEsol-relaxed geometry at the meta-GGA SCAN level of DFT.

POSCAR file:
```
Si5W
1.0
4.583 0.000 0.000
-2.291 3.969 0.000
0.000 0.000 4.511
Si W
5 1
Direct
0.000 0.677 0.000
0.323 0.323 0.000
0.333 0.667 0.500
0.667 0.333 0.500
0.677 0.000 0.000
0.000 0.000 0.500
```

E_form (uncorrected) in meV per atom: 348
Space-group type: P-62m, No. 189
Electronic total energy in eV per atom: -19.613
Volume in A^3/atom: 13.68
ρ in g cm⁻³: 6.6

---

No. 6
Computed, not measured: YMoAs at its PBEsol-relaxed geometry at the meta-GGA SCAN level of DFT.

POSCAR file:
```
YMoAs
1.0
4.283 0.000 0.000
-2.141 3.709 0.000
0.000 0.000 3.791
Y Mo As
1 1 1
Direct
0.000 0.000 0.000
0.667 0.333 0.500
0.333 0.667 0.500
```

Space-group type: P-6m2, No. 187
Electronic total energy in eV per atom: -27.966
Volume in A^3/atom: 20.08
ρ in g cm⁻³: 7.2
E_form in eV per atom: -0.33